Material: BaSI3
Method: DFT, GGA-PBE
State: optimized geometry

Results
Space group   No. 221
Raw total energy   -2.789 eV/atom
Total moment   0.0 μB/cell
Fermi-level density of states   1.094 states/eV/cell
Excess energy over the best structure of this formula in the dataset   0 meV/atom

Cell lengths 5.7544, 5.7544, 5.7544 Å; angles 90.00, 90.00, 90.00 degrees
Fractional positions:
Ba1 0.0000 0.0000 0.0000
S1 0.5000 0.5000 0.5000
I1 0.0000 0.5000 0.5000
I2 0.5000 0.0000 0.5000
I3 0.5000 0.5000 0.0000



Material: Ba2S2I
Method: DFT, GGA-PBE
State: optimized geometry

Results
Space group   No. 139
Raw total energy   -4.233 eV/atom
Total moment   0.0 μB/cell
Fermi-level density of states   2.532 states/eV/cell
Excess energy over the best structure of this formula in the dataset   79 meV/atom

Cell lengths 6.5683, 6.5683, 6.5683 Å; angles 126.36, 126.36, 79.29 degrees
Fractional positions:
Ba1 0.2500 0.7500 0.5000
Ba2 0.7500 0.2500 0.5000
S1 0.1425 0.1425 0.0000
S2 0.8575 0.8575 0.0000
I1 0.5000 0.5000 0.0000



Material: BaSI3
Method: DFT, GGA-PBE
State: optimized geometry

Results
Space group   No. 221
Raw total energy   -2.386 eV/atom
Total moment   3.0 μB/cell
Fermi-level density of states   8.747 states/eV/cell
Excess energy over the best structure of this formula in the dataset   403 meV/atom

Cell lengths 6.7996, 6.7996, 6.7996 Å; angles 90.00, 90.00, 90.00 degrees
Fractional positions:
Ba1 0.0000 0.0000 0.0000
S1 0.5000 0.5000 0.5000
I1 0.0000 0.0000 0.5000
I2 0.0000 0.5000 0.0000
I3 0.5000 0.0000 0.0000



Material: Ba2SI2
Method: DFT, GGA-PBE
State: optimized geometry

Results
Space group   No. 36
Raw total energy   -4.050 eV/atom
Total moment   0.0 μB/cell
Fermi-level density of states   0.000 states/eV/cell

Cell lengths 10.0556, 10.0556, 9.1344 Å; angles 90.00, 90.00, 151.24 degrees
Fractional positions:
Ba1 0.0453 0.9547 0.5000
Ba2 0.3315 0.6685 0.3927
Ba3 0.6685 0.3315 0.8927
Ba4 0.9547 0.0453 0.0000
S1 0.0896 0.9104 0.8238
S2 0.9104 0.0896 0.3238
I1 0.2996 0.7004 0.0116
I2 0.4430 0.5570 0.6923
I3 0.5570 0.4430 0.1923
I4 0.7004 0.2996 0.5116



Material: BaSI
Method: DFT, GGA-PBE
State: optimized geometry

Results
Space group   No. 63
Raw total energy   -3.753 eV/atom
Total moment   0.3 μB/cell
Fermi-level density of states   8.832 states/eV/cell
Excess energy over the best structure of this formula in the dataset   359 meV/atom

Cell lengths 5.9727, 5.9727, 6.2843 Å; angles 90.00, 90.00, 119.89 degrees
Fractional positions:
Ba1 0.1668 0.8332 0.7500
Ba2 0.8332 0.1668 0.2500
S1 0.1664 0.8336 0.2500
S2 0.8336 0.1664 0.7500
I1 0.5000 0.5000 0.0000
I2 0.5000 0.5000 0.5000



Material: BaSI
Method: DFT, GGA-PBE
State: optimized geometry

Results
Space group   No. 12
Raw total energy   -4.112 eV/atom
Total moment   0.0 μB/cell
Fermi-level density of states   0.000 states/eV/cell
Excess energy over the best structure of this formula in the dataset   0 meV/atom

Cell lengths 5.0060, 5.0060, 11.5368 Å; angles 93.80, 93.80, 66.82 degrees
Fractional positions:
Ba1 0.2121 0.2121 0.3223
Ba2 0.7879 0.7879 0.6777
S1 0.3082 0.6918 0.5000
S2 0.6918 0.3082 0.5000
I1 0.1704 0.1704 0.8334
I2 0.8296 0.8296 0.1666



Material: Ba2SI2
Method: DFT, GGA-PBE
State: optimized geometry

Results
Space group   No. 72
Raw total energy   -4.053 eV/atom
Total moment   0.0 μB/cell
Fermi-level density of states   0.000 states/eV/cell

Cell lengths 8.9394, 8.9394, 8.9394 Å; angles 121.72, 81.78, 128.11 degrees
Fractional positions:
Ba1 0.0982 0.2106 0.3088
Ba2 0.4018 0.7106 0.1124
Ba3 0.5982 0.2894 0.8876
Ba4 0.9018 0.7894 0.6912
S1 0.2500 0.2500 0.0000
S2 0.7500 0.7500 0.0000
I1 0.1461 0.6224 0.7685
I2 0.3539 0.1224 0.4763
I3 0.6461 0.8776 0.5237
I4 0.8539 0.3776 0.2315



Material: Ba2S2I
Method: DFT, GGA-PBE
State: optimized geometry

Results
Space group   No. 127
Raw total energy   -4.230 eV/atom
Total moment   0.0 μB/cell
Fermi-level density of states   9.420 states/eV/cell
Excess energy over the best structure of this formula in the dataset   82 meV/atom

Cell lengths 8.8535, 8.8535, 4.0942 Å; angles 90.00, 90.00, 90.00 degrees
Fractional positions:
Ba1 0.1594 0.3406 0.0000
Ba2 0.3406 0.8406 0.0000
Ba3 0.6594 0.1594 0.0000
Ba4 0.8406 0.6594 0.0000
S1 0.1432 0.6432 0.5000
S2 0.3568 0.1432 0.5000
S3 0.6432 0.8568 0.5000
S4 0.8568 0.3568 0.5000
I1 0.0000 0.0000 0.5000
I2 0.5000 0.5000 0.5000



Material: Ba4SI6
Method: DFT, GGA-PBE
State: optimized geometry

Results
Space group   No. 137
Raw total energy   -3.738 eV/atom
Total moment   0.0 μB/cell
Fermi-level density of states   0.000 states/eV/cell

Cell lengths 11.2655, 11.2655, 8.3194 Å; angles 90.00, 90.00, 90.00 degrees
Fractional positions:
Ba1 0.0058 0.7500 0.0815
Ba2 0.2500 0.5058 0.4185
Ba3 0.2500 0.9942 0.4185
Ba4 0.4942 0.7500 0.0815
Ba5 0.5058 0.2500 0.9185
Ba6 0.7500 0.0058 0.5815
Ba7 0.7500 0.4942 0.5815
Ba8 0.9942 0.2500 0.9185
S1 0.2500 0.7500 0.2500
S2 0.7500 0.2500 0.7500
I1 0.0423 0.5423 0.7500
I2 0.0423 0.9577 0.7500
I3 0.2500 0.2500 0.1622
I4 0.2500 0.2500 0.6622
I5 0.4577 0.5423 0.7500
I6 0.4577 0.9577 0.7500
I7 0.5423 0.0423 0.2500
I8 0.5423 0.4577 0.2500
I9 0.7500 0.7500 0.3378
I10 0.7500 0.7500 0.8378
I11 0.9577 0.0423 0.2500
I12 0.9577 0.4577 0.2500



Material: Ba2S2I
Method: DFT, GGA-PBE
State: optimized geometry

Results
Space group   No. 15
Raw total energy   -4.312 eV/atom
Total moment   2.0 μB/cell
Excess energy over the best structure of this formula in the dataset   0 meV/atom

Cell lengths 9.3673, 9.3673, 9.0339 Å; angles 97.24, 97.24, 29.47 degrees
Fractional positions:
Ba1 0.0244 0.2658 0.0935
Ba2 0.2658 0.0244 0.5935
Ba3 0.7342 0.9756 0.4065
Ba4 0.9756 0.7342 0.9065
S1 0.1960 0.4195 0.5953
S2 0.4195 0.1960 0.0953
S3 0.5805 0.8040 0.9047
S4 0.8040 0.5805 0.4047
I1 0.2481 0.7519 0.2500
I2 0.7519 0.2481 0.7500



Material: BaS2I2
Method: DFT, GGA-PBE
State: optimized geometry

Results
Space group   No. 127
Raw total energy   -3.322 eV/atom
Total moment   0.0 μB/cell
Fermi-level density of states   0.477 states/eV/cell

Cell lengths 8.7884, 8.7884, 5.1655 Å; angles 90.00, 90.00, 90.00 degrees
Fractional positions:
Ba1 0.0000 0.0000 0.0000
Ba2 0.5000 0.5000 0.0000
S1 0.2175 0.2825 0.0000
S2 0.2825 0.7825 0.0000
S3 0.7175 0.2175 0.0000
S4 0.7825 0.7175 0.0000
I1 0.2226 0.7226 0.5000
I2 0.2774 0.2226 0.5000
I3 0.7226 0.7774 0.5000
I4 0.7774 0.2774 0.5000



Material: Ba4S2I
Method: DFT, GGA-PBE
State: optimized geometry

Results
Space group   No. 166
Raw total energy   -4.032 eV/atom
Total moment   0.5 μB/cell
Fermi-level density of states   5.507 states/eV/cell

Cell lengths 16.3071, 16.3071, 16.3071 Å; angles 16.11, 16.11, 16.11 degrees
Fractional positions:
Ba1 0.1241 0.1241 0.1241
Ba2 0.2822 0.2822 0.2822
Ba3 0.7178 0.7178 0.7178
Ba4 0.8759 0.8759 0.8759
S1 0.4190 0.4190 0.4190
S2 0.5810 0.5810 0.5810
I1 0.0000 0.0000 0.0000



In eV per atom, the formation energy from raw total energies values for the records above are, in order, -0.65; -1.50; -0.25; -1.83; -1.22; -1.58; -1.84; -1.50; -1.82; -1.58; -0.67; -1.53.